VASP calculation (GGA+U) on BaCo2O after structural relaxation.

It has space group Fd-3m (No. 227, origin choice 2), with a = 8.534 Å, b = 8.534 Å, c = 8.534 Å, α = 90.00°, β = 90.00° and γ = 90.00°. The inequivalent atoms are Ba at (0.125, 0.125, 0.125), Co at (0.000, 0.000, 0.500) and O at (0.125, 0.125, 0.625).

For the total magnetization, the calculation gives 16.591 μB/cell. The total energy comes out at -4.467 eV/atom. As for the density of states at the Fermi level: 1.06 states/eV/f.u.